## NaCdMoF6 (GGA+U)

Data for a relaxed structure of NaCdMoF6.

## Properties
Total DFT energy (no corrections) ... -4.7911 eV/atom
Total magnetization ... 0.33 μB/atom

abc: 5.6965 5.6965 9.4897
angles: 90.00 90.00 120.00
Last column: nearest neighbours and their distance in Å.
Space group P-31c (No. 163)
Symmetry-distinct sites (fractional):
Na  0.3333  0.6667  0.2500 x2  6 F 2.30
Cd  0.0000  0.0000  0.0000 x2  6 F 2.29
Mo  0.3333  0.6667  0.7500 x2  6 F 2.11
F  0.0260  0.3510  0.6301 x12  1 Mo 2.11, 1 Cd 2.29, 1 Na 2.30